{
  "formula": "KLaMo2Pb",
  "functional": "PBE",
  "state": "relaxed",
  "lattice": [[-4.673, 0.973, -1.665], [1.294, -2.943, -5.351], [-1.619, -4.351, 2.001]],
  "species": ["Pb", "Mo", "Mo", "K", "La"],
  "frac_coords": [[0.000, 0.500, 0.000], [0.000, 0.000, 0.500], [0.500, 0.000, 0.000], [0.500, 0.500, 0.500], [0.000, 0.000, 0.000]],
  "sg": "P4/mmm"
}

{
  "formula": "K2RbLaMo",
  "functional": "PBE",
  "state": "relaxed",
  "lattice": [[6.064, 0.000, 0.000], [0.000, 6.354, 0.000], [0.000, 0.000, 6.064]],
  "species": ["Mo", "K", "K", "Rb", "La"],
  "frac_coords": [[0.000, 0.500, 0.000], [0.000, 0.000, 0.500], [0.500, 0.000, 0.000], [0.000, 0.000, 0.000], [0.500, 0.500, 0.500]],
  "sg": "P4/mmm"
}

{
  "formula": "KLaSb2Mo",
  "functional": "PBE",
  "state": "relaxed",
  "lattice": [[5.482, 0.000, 0.000], [0.000, 5.293, 0.000], [0.000, 0.000, 5.482]],
  "species": ["Sb", "Sb", "Mo", "K", "La"],
  "frac_coords": [[0.000, 0.000, 0.500], [0.500, 0.000, 0.000], [0.000, 0.000, 0.000], [0.500, 0.500, 0.500], [0.000, 0.500, 0.000]],
  "e_form_raw_ev_per_fu": -0.226,
  "sg": "P4/mmm"
}

{
  "formula": "KLa2MoSe",
  "functional": "PBE",
  "state": "relaxed",
  "lattice": [[5.513, 0.000, 0.000], [0.000, 5.125, 0.000], [0.000, 0.000, 5.513]],
  "species": ["Mo", "K", "Se", "La", "La"],
  "frac_coords": [[0.500, 0.500, 0.500], [0.000, 0.000, 0.000], [0.000, 0.500, 0.000], [0.000, 0.000, 0.500], [0.500, 0.000, 0.000]],
  "e_form_raw_ev_per_fu": 7.506,
  "sg": "P4/mmm"
}

{
  "formula": "KLaTaMo2",
  "functional": "PBE",
  "state": "relaxed",
  "lattice": [[4.700, 0.000, 0.000], [0.000, 5.055, 0.000], [0.000, 0.000, 4.700]],
  "species": ["Mo", "Mo", "La", "K", "Ta"],
  "frac_coords": [[0.000, 0.000, 0.500], [0.500, 0.000, 0.000], [0.000, 0.500, 0.000], [0.000, 0.000, 0.000], [0.500, 0.500, 0.500]],
  "sg": "P4/mmm"
}

{
  "formula": "KLaN3",
  "functional": "PBE",
  "state": "relaxed",
  "lattice": [[-2.097, 0.737, -3.635], [-3.636, -1.233, 1.848], [-0.733, 4.011, 1.236]],
  "species": ["K", "N", "N", "N", "La"],
  "frac_coords": [[0.000, 0.000, 0.000], [0.000, 0.500, 0.000], [0.000, 0.000, 0.500], [0.500, 0.000, 0.000], [0.500, 0.500, 0.500]],
  "e_form_raw_ev_per_fu": 8.705,
  "sg": "Pm-3m"
}

{
  "formula": "KLaN2",
  "functional": "PBE",
  "state": "relaxed",
  "lattice": [[0.256, -2.614, 3.676], [-3.289, 0.127, 3.096], [-2.797, -3.517, 0.470]],
  "species": ["K", "N", "N", "La"],
  "frac_coords": [[0.000, 0.000, 0.000], [0.250, 0.250, 0.250], [0.750, 0.750, 0.750], [0.500, 0.500, 0.500]],
  "e_form_raw_ev_per_fu": 0.933,
  "sg": "Fm-3m",
  "e_above_lowest_polymorph_mev_per_atom": 169
}

{
  "formula": "KLaN",
  "functional": "PBE",
  "state": "relaxed",
  "lattice": [[-1.651, -3.749, 1.010], [3.703, 1.185, 1.639], [-7.045, 6.184, 11.448]],
  "species": ["La", "La", "K", "K", "N", "N"],
  "frac_coords": [[0.667, 0.333, 0.089], [0.333, 0.667, 0.911], [0.000, 0.000, 0.358], [0.000, 0.000, 0.642], [0.667, 0.333, 0.931], [0.333, 0.667, 0.069]],
  "e_form_raw_ev_per_fu": -2.286,
  "sg": "P-3m1"
}

{
  "formula": "KLaN2",
  "functional": "PBE",
  "state": "relaxed",
  "lattice": [[-7.082, -2.212, -1.053], [-4.600, -5.892, -0.522], [-5.871, -3.520, 3.048]],
  "species": ["K", "N", "N", "La"],
  "frac_coords": [[0.500, 0.500, 0.500], [0.910, 0.910, 0.910], [0.090, 0.090, 0.090], [0.000, 0.000, 0.000]],
  "e_form_raw_ev_per_fu": 2.234,
  "sg": "R-3m",
  "e_above_lowest_polymorph_mev_per_atom": 494
}

{
  "formula": "KLaN3",
  "functional": "PBE",
  "state": "relaxed",
  "lattice": [[4.728, 0.000, 0.000], [0.000, 4.728, 0.000], [0.000, 0.000, 4.728]],
  "species": ["K", "N", "N", "N", "La"],
  "frac_coords": [[0.500, 0.500, 0.500], [0.000, 0.500, 0.000], [0.000, 0.000, 0.500], [0.500, 0.000, 0.000], [0.000, 0.000, 0.000]],
  "e_form_raw_ev_per_fu": 4.438,
  "sg": "Pm-3m"
}

{
  "formula": "KLa2N",
  "functional": "PBE",
  "state": "relaxed",
  "lattice": [[3.738, 0.000, 0.000], [1.869, 3.237, 0.000], [1.869, 1.079, 11.018]],
  "species": ["K", "N", "La", "La"],
  "frac_coords": [[0.000, 0.000, 0.000], [0.500, 0.500, 0.500], [0.125, 0.125, 0.626], [0.875, 0.875, 0.374]],
  "e_form_raw_ev_per_fu": -2.197,
  "sg": "R-3m"
}

{
  "formula": "KLaN2",
  "functional": "PBE",
  "state": "relaxed",
  "lattice": [[2.233, 0.000, 7.474], [-1.116, 1.934, 7.474], [-1.116, -1.934, 7.474]],
  "species": ["K", "N", "N", "La"],
  "frac_coords": [[0.000, 0.000, 0.000], [0.884, 0.884, 0.884], [0.116, 0.116, 0.116], [0.500, 0.500, 0.500]],
  "e_form_raw_ev_per_fu": 0.257,
  "sg": "R-3m",
  "e_above_lowest_polymorph_mev_per_atom": 0
}

Number 1: size of the total moment 2.6 Bohr magnetons per cell, VASP energy -0.3384 Ry per atom. Number 2: size of the total moment 2.9 Bohr magnetons per cell, VASP energy -0.1611 Ry per atom. Number 3: size of the total moment 0.0 Bohr magnetons per cell, VASP energy -0.3723 Ry per atom. Number 4: size of the total moment 0.1 Bohr magnetons per cell, VASP energy -0.2611 Ry per atom. Number 5: size of the total moment 1.1 Bohr magnetons per cell, VASP energy -0.3843 Ry per atom. Number 6: size of the total moment 0.0 Bohr magnetons per cell, VASP energy -0.3278 Ry per atom. Number 7: size of the total moment 2.0 Bohr magnetons per cell, VASP energy -0.3995 Ry per atom. Number 8: size of the total moment 0.0 Bohr magnetons per cell, VASP energy -0.4076 Ry per atom. Number 9: size of the total moment 0.0 Bohr magnetons per cell, VASP energy -0.3756 Ry per atom. Number 10: size of the total moment 5.0 Bohr magnetons per cell, VASP energy -0.3905 Ry per atom. Number 11: size of the total moment 0.0 Bohr magnetons per cell, VASP energy -0.3946 Ry per atom. Number 12: size of the total moment 2.0 Bohr magnetons per cell, VASP energy -0.4119 Ry per atom.